A) First-principles (PBE-GGA) data for a relaxed structure of Na3TlCl4, as listed in Alexandria via LeMat-Bulk.

Cell lengths 4.128, 6.042, 8.479 Å; angles 90.00, 90.00, 90.00 degrees
Fractional positions:
Na 0.000 0.000 0.000
Na 0.500 0.500 0.238
Na 0.500 0.500 0.762
Tl 0.000 0.000 0.500
Cl 0.000 0.500 0.000
Cl 0.000 0.500 0.500
Cl 0.500 0.000 0.219
Cl 0.500 0.000 0.781

- Volume: 26.4 Å³ per atom
- Magnetic moment: 0.000 μB per atom

---

B) First-principles (PBE-GGA) data for a relaxed structure of Na3TlCl4, as listed in Alexandria via LeMat-Bulk.

Cell lengths 6.027, 9.918, 8.500 Å; angles 90.00, 90.00, 90.00 degrees
Fractional positions:
Na 0.250 0.000 0.166
Na 0.250 0.250 0.675
Na 0.250 0.500 0.166
Na 0.750 0.000 0.834
Na 0.750 0.500 0.834
Na 0.750 0.750 0.325
Tl 0.250 0.750 0.669
Tl 0.750 0.250 0.331
Cl 0.250 0.022 0.848
Cl 0.250 0.250 0.341
Cl 0.250 0.478 0.848
Cl 0.250 0.750 0.303
Cl 0.750 0.250 0.697
Cl 0.750 0.522 0.152
Cl 0.750 0.750 0.659
Cl 0.750 0.978 0.152

- Volume: 31.8 Å³ per atom
- Magnetic moment: 0.000 μB per atom

---

Q: Which of them is the least stable? A: B).